1.
Material: TcRh2W
Method: DFT, PBE
State: optimized geometry

Energy above the most stable polymorph in this dataset in kcal/mol of atoms: 9.22

Cell lengths 3.3221, 3.3221, 5.4506 Å; angles 90.00, 90.00, 90.00 degrees
Space group P4/mmm (No. 123)
Inequivalent atoms, fractional coordinates:
Tc1 0.0000 0.0000 0.0000 x1
Rh1 0.5000 0.5000 0.2510 x2
W1 0.0000 0.0000 0.5000 x1

=====

2.
Material: Tc2RhW
Method: DFT, PBE
State: optimized geometry

Energy above the most stable polymorph in this dataset in kcal/mol of atoms: 2.88

Cell lengths 2.7069, 4.2518, 5.3456 Å; angles 90.00, 102.24, 90.00 degrees
Space group Pm (No. 6)
Inequivalent atoms, fractional coordinates:
Tc1 0.0000 0.0000 0.0000 x1
Tc2 0.4228 0.5000 0.7720 x1
Rh1 0.8059 0.0000 0.4999 x1
W1 0.3789 0.5000 0.2627 x1

=====

3.
Material: Tc2RhW
Method: DFT, PBE
State: optimized geometry

Energy above the most stable polymorph in this dataset in kcal/mol of atoms: 5.47

Cell lengths 3.2350, 3.2350, 5.7614 Å; angles 90.00, 90.00, 90.00 degrees
Space group P4/mmm (No. 123)
Inequivalent atoms, fractional coordinates:
Tc1 0.0000 0.0000 0.2465 x2
Rh1 0.5000 0.5000 0.5000 x1
W1 0.5000 0.5000 0.0000 x1

=====

4.
Material: TcRhW
Method: DFT, PBE
State: optimized geometry

Energy above the most stable polymorph in this dataset in kcal/mol of atoms: 4.08

Cell lengths 3.2095, 3.2095, 8.9668 Å; angles 90.00, 90.00, 90.00 degrees
Space group I4mm (No. 107)
Inequivalent atoms, fractional coordinates:
Tc1 0.0000 0.0000 0.0000 x2
Rh1 0.0000 0.0000 0.6870 x2
W1 0.0000 0.0000 0.3555 x2

=====

5.
Material: TcRh2W
Method: DFT, PBE
State: optimized geometry

Energy above the most stable polymorph in this dataset in kcal/mol of atoms: 0.94

Cell lengths 3.8460, 3.8460, 7.8990 Å; angles 90.00, 90.00, 90.00 degrees
Space group I4/mmm (No. 139)
Inequivalent atoms, fractional coordinates:
Tc1 0.0000 0.0000 0.0000 x2
Rh1 0.0000 0.5000 0.2500 x4
W1 0.0000 0.0000 0.5000 x2

=====

6.
Material: Tc2RhW
Method: DFT, PBE
State: optimized geometry

Energy above the most stable polymorph in this dataset in kcal/mol of atoms: 0.95

Cell lengths 4.7785, 2.7555, 4.7806 Å; angles 90.00, 109.46, 90.00 degrees
Space group P2/m (No. 10)
Inequivalent atoms, fractional coordinates:
Tc1 0.0000 0.0000 0.0000 x1
Tc2 0.5000 0.5000 0.0000 x1
Rh1 0.0000 0.5000 0.5000 x1
W1 0.5000 0.0000 0.5000 x1

=====

7.
Material: Tc2RhW
Method: DFT, PBE
State: optimized geometry

Energy above the most stable polymorph in this dataset in kcal/mol of atoms: 6.56

Cell lengths 6.2237, 6.2237, 6.2237 Å; angles 90.00, 90.00, 90.00 degrees
Space group Fm-3m (No. 225)
Inequivalent atoms, fractional coordinates:
Tc1 0.2500 0.2500 0.2500 x8
Rh1 0.0000 0.0000 0.0000 x4
W1 0.0000 0.0000 0.5000 x4

=====

8.
Material: TcRh2W
Method: DFT, PBE
State: optimized geometry

Energy above the most stable polymorph in this dataset in kcal/mol of atoms: 4.83

Cell lengths 2.7637, 2.7637, 26.9991 Å; angles 90.00, 90.00, 120.00 degrees
Space group R3m (No. 160, hexagonal axes)
Inequivalent atoms, fractional coordinates:
Tc1 0.0000 0.0000 0.0000 x3
Rh1 0.0000 0.0000 0.4981 x3
Rh2 0.0000 0.0000 0.7446 x3
W1 0.0000 0.0000 0.2445 x3